No. 1
A relaxed Rb2ZrHgCl6 crystal, computed with GGA-PBE.

Structure (extended XYZ):
```
10
Lattice="-0.5839 -0.4413 -8.1590 -5.2901 -6.2136 0.7146 -7.3422 0.4360 -3.6105" Properties=species:S:1:pos:R:3 pbc="T T T"
Rb -7.7847 -4.5525 -3.3090
Cl -8.3866 -4.5083 -7.3806
Cl -1.9256 -2.0869 -5.6291
Rb -5.4316 -1.6663 -7.7458
Hg 0.0000 0.0000 0.0000
Cl -3.9484 -4.5679 -1.8152
Cl -1.6747 -1.8973 -2.1224
Cl -4.1994 -4.7575 -5.3220
Zr -2.9370 -3.3274 -3.7222
Cl -4.8296 -1.7105 -3.6742
```

Output
Energy relative to the elements, uncorrected = -1652 meV/atom

No. 2
A relaxed ReHgCl2 crystal, computed with GGA-PBE.

Structure (extended XYZ):
```
4
Lattice="-0.3229 2.9460 -0.7583 -4.7929 -0.6516 -0.4903 -3.2588 1.2838 6.3755" Properties=species:S:1:pos:R:3 pbc="T T T"
Hg -4.4199 0.4527 3.6412
Cl -7.0955 0.6265 5.4555
Re -7.0140 1.6651 3.2856
Cl -1.9231 1.7822 1.5724
```

Output
Energy relative to the elements, uncorrected = 59 meV/atom

No. 3
A relaxed ReHgCl2 crystal, computed with GGA-PBE.

Structure (extended XYZ):
```
4
Lattice="3.2881 0.0169 0.0000 -1.7952 2.7548 0.0000 0.0000 0.0000 9.4795" Properties=species:S:1:pos:R:3 pbc="T T T"
Re 0.7464 1.3859 7.1451
Cl 0.7464 1.3859 2.7979
Hg 0.0000 0.0000 4.8313
Cl 0.0000 0.0000 8.9245
```

Output
Energy relative to the elements, uncorrected = 353 meV/atom

No. 4
A relaxed ReHg2Cl crystal, computed with GGA-PBE.

Structure (extended XYZ):
```
4
Lattice="0.0000 3.5300 3.5300 3.5300 0.0000 3.5300 3.5300 3.5300 0.0000" Properties=species:S:1:pos:R:3 pbc="T T T"
Hg 5.2950 5.2950 5.2950
Hg 1.7650 1.7650 1.7650
Cl 0.0000 0.0000 0.0000
Re 3.5300 3.5300 3.5300
```

Output
Energy relative to the elements, uncorrected = 1179 meV/atom

No. 5
A relaxed ReHg2Cl crystal, computed with GGA-PBE.

Structure (extended XYZ):
```
4
Lattice="5.8929 -0.0255 -0.0014 1.9607 5.5573 0.0014 -2.8501 -4.2945 2.8568" Properties=species:S:1:pos:R:3 pbc="T T T"
Re 3.4848 -0.7771 1.4277
Hg 4.0024 2.8191 0.0000
Hg 7.7781 5.4785 0.0000
Cl 1.5187 2.0143 1.4291
```

Output
Energy relative to the elements, uncorrected = 991 meV/atom

No. 6
A relaxed ReHgCl2 crystal, computed with GGA-PBE.

Structure (extended XYZ):
```
4
Lattice="-1.5014 -1.6042 -5.2154 5.5277 1.2125 0.0542 1.6270 -2.6149 -0.7726" Properties=species:S:1:pos:R:3 pbc="T T T"
Cl 2.0131 -0.1958 -2.5806
Cl 0.0000 0.0000 0.0000
Hg 0.0628 -2.1095 -2.9940
Re 3.5774 -0.7012 -0.3592
```

Output
Energy relative to the elements, uncorrected = 887 meV/atom

No. 7
A relaxed ReHgCl2 crystal, computed with GGA-PBE.

Structure (extended XYZ):
```
4
Lattice="-3.8638 -1.7942 -2.9996 4.3107 -2.7091 -1.1069 -0.7815 -2.1900 2.3166" Properties=species:S:1:pos:R:3 pbc="T T T"
Re 1.7646 -2.4496 0.6048
Hg -2.3227 -1.9921 -0.3415
Cl 0.2234 -2.2517 -2.0533
Cl 0.0000 0.0000 0.0000
```

Output
Energy relative to the elements, uncorrected = 1058 meV/atom

No. 8
A relaxed ReHg2Cl crystal, computed with GGA-PBE.

Structure (extended XYZ):
```
4
Lattice="5.6113 -0.0290 0.0000 2.4673 5.0398 0.0000 -4.0393 -2.5054 2.9823" Properties=species:S:1:pos:R:3 pbc="T T T"
Hg 1.2337 2.5199 1.4912
Hg 0.0000 0.0000 0.0000
Cl 2.8056 -0.0145 1.4912
Re 4.0393 2.5054 0.0000
```

Output
Energy relative to the elements, uncorrected = 1058 meV/atom

No. 9
A relaxed ReHg2Cl crystal, computed with GGA-PBE.

Structure (extended XYZ):
```
4
Lattice="-5.0787 -2.7145 0.7405 0.2834 -1.2535 -2.6512 2.5508 -4.9157 -0.5250" Properties=species:S:1:pos:R:3 pbc="T T T"
Hg 0.0729 -0.3111 -0.6406
Cl -0.4137 -5.9842 -2.0119
Re -1.8308 -2.8996 -0.4238
Hg 1.3443 -2.7735 -0.9475
```

Output
Energy relative to the elements, uncorrected = 847 meV/atom

No. 10
A relaxed ReHgCl2 crystal, computed with GGA-PBE.

Structure (extended XYZ):
```
4
Lattice="3.0954 0.0000 0.0000 0.0000 3.0954 0.0000 0.0000 0.0000 8.1851" Properties=species:S:1:pos:R:3 pbc="T T T"
Hg 0.0000 0.0000 4.2319
Cl 0.0000 0.0000 7.5658
Re 1.5477 1.5477 6.3137
Cl 1.5477 1.5477 2.3514
```

Output
Energy relative to the elements, uncorrected = 545 meV/atom

No. 11
A relaxed ReHgCl2 crystal, computed with GGA-PBE.

Structure (extended XYZ):
```
4
Lattice="1.7394 0.0000 10.9341 -0.8697 1.5064 10.9341 -0.8697 -1.5064 10.9341" Properties=species:S:1:pos:R:3 pbc="T T T"
Cl 0.0000 0.0000 30.5700
Hg 0.0000 0.0000 16.4011
Re 0.0000 0.0000 0.0000
Cl 0.0000 0.0000 2.2323
```

Output
Energy relative to the elements, uncorrected = 99 meV/atom

No. 12
A relaxed ReHgCl2 crystal, computed with GGA-PBE.

Structure (extended XYZ):
```
4
Lattice="-2.3639 1.1779 1.5745 1.5429 -0.4152 2.6272 3.8450 8.8626 -0.8574" Properties=species:S:1:pos:R:3 pbc="T T T"
Re 2.4733 7.0283 1.4578
Cl 3.4822 8.0262 -0.7765
Hg 0.5508 2.5970 1.8865
Cl 2.2854 5.2677 -0.5096
```

Output
Energy relative to the elements, uncorrected = 588 meV/atom

No. 13
A relaxed ReHgCl2 crystal, computed with GGA-PBE.

Structure (extended XYZ):
```
4
Lattice="7.1748 0.0679 0.0134 6.5460 2.9380 0.0134 1.8651 0.4086 4.8413" Properties=species:S:1:pos:R:3 pbc="T T T"
Cl 9.0009 1.9719 1.9378
Re 3.8965 0.8536 1.2170
Hg 11.6894 2.5608 3.6510
Cl 12.5129 2.7412 0.5229
```

Output
Energy relative to the elements, uncorrected = 112 meV/atom

No. 14
A relaxed Re4HgCl crystal, computed with GGA-PBE.

Structure (extended XYZ):
```
6
Lattice="0.0000 3.7631 3.7631 3.7631 0.0000 3.7631 3.7631 3.7631 0.0000" Properties=species:S:1:pos:R:3 pbc="T T T"
Hg 0.0000 0.0000 0.0000
Re 4.6937 4.6937 2.8326
Re 4.6937 2.8326 4.6937
Re 2.8326 4.6937 4.6937
Cl 5.6447 5.6447 5.6447
Re 2.8326 2.8326 2.8326
```

Output
Energy relative to the elements, uncorrected = 1264 meV/atom

No. 15
A relaxed ReHg2Cl crystal, computed with GGA-PBE.

Structure (extended XYZ):
```
4
Lattice="7.6554 0.0191 -0.0053 7.1401 2.7612 -0.0053 1.2185 0.2290 4.1293" Properties=species:S:1:pos:R:3 pbc="T T T"
Re 12.0106 2.2570 3.0890
Hg 7.0677 1.3281 2.3459
Cl 4.0035 0.7523 1.0297
Hg 2.1579 0.4055 3.8428
```

Output
Energy relative to the elements, uncorrected = 705 meV/atom

No. 16
A relaxed ReHg2Cl crystal, computed with GGA-PBE.

Structure (extended XYZ):
```
8
Lattice="4.9901 0.0000 0.0000 0.0000 4.9901 0.0000 2.4951 2.4951 9.2914" Properties=species:S:1:pos:R:3 pbc="T T T"
Re 0.0000 0.0000 0.0000
Re 4.9901 2.4951 4.6457
Cl 2.4951 4.9901 4.6457
Hg 0.8735 3.7426 2.3229
Hg 4.1166 1.2475 2.3229
Cl 2.4951 2.4951 0.0000
Hg 6.2377 6.6117 6.9686
Hg 3.7426 3.3686 6.9686
```

Output
Energy relative to the elements, uncorrected = 1124 meV/atom

No. 17
A relaxed ReHgCl2 crystal, computed with GGA-PBE.

Structure (extended XYZ):
```
4
Lattice="-3.5105 -5.7960 -3.0737 -0.3009 -7.3759 0.9324 -0.5869 7.1761 1.8769" Properties=species:S:1:pos:R:3 pbc="T T T"
Hg -1.5819 -5.4668 -0.8887
Cl -0.3807 -1.3156 -0.2139
Re -1.3401 -3.1971 0.9011
Cl -3.0013 -2.6023 -1.1336
```

Output
Energy relative to the elements, uncorrected = 447 meV/atom

No. 18
A relaxed ReHg2Cl crystal, computed with GGA-PBE.

Structure (extended XYZ):
```
4
Lattice="-0.0869 -3.1976 -8.5783 2.9918 -2.3637 -8.3235 2.0125 -5.2148 -7.2508" Properties=species:S:1:pos:R:3 pbc="T T T"
Re 1.2294 -2.6940 -6.0382
Cl 3.6881 -8.0821 -18.1145
Hg 2.4708 -5.4146 -12.1357
Hg 4.9054 -10.7497 -24.0933
```

Output
Energy relative to the elements, uncorrected = 641 meV/atom

No. 19
A relaxed ReHg2Cl crystal, computed with GGA-PBE.

Structure (extended XYZ):
```
4
Lattice="-2.1309 -1.7321 0.5083 3.4669 -3.7492 1.7581 -0.4079 1.9725 5.0109" Properties=species:S:1:pos:R:3 pbc="T T T"
Hg 1.5295 -0.8883 3.3845
Hg 0.0000 0.0000 0.0000
Cl -1.2694 0.1202 2.7596
Re 0.6680 -2.7406 1.1332
```

Output
Energy relative to the elements, uncorrected = 752 meV/atom

No. 20
A relaxed ReHg2Cl crystal, computed with GGA-PBE.

Structure (extended XYZ):
```
4
Lattice="7.3504 0.0337 -0.0512 6.7628 2.8800 -0.0512 1.6735 0.3455 4.6051" Properties=species:S:1:pos:R:3 pbc="T T T"
Cl 2.7887 0.5757 1.5634
Hg 14.0220 2.8949 -0.0684
Re 8.1048 1.6733 2.1707
Hg 12.8779 2.6587 2.9859
```

Output
Energy relative to the elements, uncorrected = 429 meV/atom

No. 21
A relaxed ReHg2Cl crystal, computed with GGA-PBE.

Structure (extended XYZ):
```
4
Lattice="-1.8994 -1.2303 -1.9076 0.9091 -2.6914 0.8306 -7.0569 -0.1793 7.1422" Properties=species:S:1:pos:R:3 pbc="T T T"
Hg -0.0972 -0.0025 0.0984
Cl -5.1690 -2.0796 4.1919
Hg -2.6520 -2.0156 1.6444
Re -3.6575 -0.0929 3.7017
```

Output
Energy relative to the elements, uncorrected = 634 meV/atom

No. 22
A relaxed ReHgCl4 crystal, computed with GGA-PBE.

Structure (extended XYZ):
```
12
Lattice="4.4635 -0.2596 -1.7605 -0.8124 6.1345 -2.9642 0.5065 2.1147 12.1787" Properties=species:S:1:pos:R:3 pbc="T T T"
Re 1.3266 4.7256 9.4162
Hg 2.4879 4.9524 1.6259
Hg 1.6698 3.0372 5.8280
Re 2.8310 3.2640 -1.9622
Cl 2.4972 5.3770 -1.1394
Cl 2.8698 2.5639 0.2199
Cl 1.2879 5.4258 7.2341
Cl -0.2212 1.6706 -0.8072
Cl 1.6604 2.6126 8.5934
Cl 0.8624 5.6283 3.4703
Cl -0.0846 6.5786 10.0217
Cl 3.2952 2.3613 3.9837
```

Output
Energy relative to the elements, uncorrected = -491 meV/atom

No. 23
A relaxed ReHg4Cl2 crystal, computed with GGA-PBE.

Structure (extended XYZ):
```
7
Lattice="-3.2622 4.3220 0.9059 -3.0370 -1.3783 -4.3610 -7.5350 -2.7585 2.6633" Properties=species:S:1:pos:R:3 pbc="T T T"
Cl -4.5099 0.1597 -0.3656
Hg -7.8635 1.4347 -1.8889
Hg -1.5185 -0.6891 -2.1805
Hg -1.6311 2.1610 0.4529
Re 0.0000 0.0000 0.0000
Hg -5.9706 -1.2495 1.0970
Cl -9.3243 0.0256 -0.4263
```

Output
Energy relative to the elements, uncorrected = 250 meV/atom

No. 24
A relaxed ReHgCl4 crystal, computed with GGA-PBE.

Structure (extended XYZ):
```
6
Lattice="5.5784 1.8723 0.5712 1.3674 3.9981 4.1347 3.1856 -1.5969 4.7171" Properties=species:S:1:pos:R:3 pbc="T T T"
Hg 7.5985 3.2051 7.0672
Cl 4.4789 3.6117 5.6071
Cl 5.3943 0.7949 5.9003
Cl 3.7906 1.5989 3.5255
Cl 6.5989 2.5415 3.8131
Re 0.0000 0.0000 0.0000
```

Output
Energy relative to the elements, uncorrected = 1237 meV/atom

No. 25
A relaxed ReHgCl2 crystal, computed with GGA-PBE.

Structure (extended XYZ):
```
4
Lattice="-3.0937 0.2411 0.3351 -0.7453 -3.3250 -4.4885 0.0082 -3.6485 2.7014" Properties=species:S:1:pos:R:3 pbc="T T T"
Hg -1.5428 -1.7037 1.5183
Cl 0.0000 0.0000 0.0000
Cl -1.9195 -1.5420 -2.0767
Re -0.3686 -3.4868 -0.8935
```

Output
Energy relative to the elements, uncorrected = 896 meV/atom

No. 26
A relaxed ReHgCl2 crystal, computed with GGA-PBE.

Structure (extended XYZ):
```
8
Lattice="8.2317 0.0000 0.0000 0.0000 8.2317 0.0000 4.1159 4.1159 2.8140" Properties=species:S:1:pos:R:3 pbc="T T T"
Hg 0.0000 0.0000 0.0000
Cl 5.0400 2.0579 0.7035
Re 4.1159 4.1159 0.0000
Cl 6.1738 7.3076 2.1105
Cl 10.2897 9.1559 2.1105
Hg 8.2317 4.1159 1.4070
Re 4.1159 8.2317 1.4070
Cl 3.1917 6.1738 0.7035
```

Output
Energy relative to the elements, uncorrected = 292 meV/atom

No. 27
A relaxed ReHgCl2 crystal, computed with GGA-PBE.

Structure (extended XYZ):
```
4
Lattice="3.2206 0.0088 0.0000 -1.8751 2.6185 0.0000 0.0000 0.0000 10.6897" Properties=species:S:1:pos:R:3 pbc="T T T"
Re 0.6728 1.3136 8.0173
Cl 0.0000 0.0000 9.9132
Cl 0.0000 0.0000 6.1214
Hg 0.6728 1.3136 2.6724
```

Output
Energy relative to the elements, uncorrected = 165 meV/atom

No. 28
A relaxed ReHg2Cl crystal, computed with GGA-PBE.

Structure (extended XYZ):
```
4
Lattice="-0.9239 3.4053 -4.4245 -3.4770 -1.8193 -4.0775 -0.0599 0.4041 5.6443" Properties=species:S:1:pos:R:3 pbc="T T T"
Cl -1.5921 2.3012 -1.5156
Hg -2.2004 0.7930 -4.2510
Hg 0.0000 0.0000 0.0000
Re -2.8687 -0.3111 -1.3421
```

Output
Energy relative to the elements, uncorrected = 1159 meV/atom

No. 29
A relaxed ReHgCl2 crystal, computed with GGA-PBE.

Structure (extended XYZ):
```
4
Lattice="-6.8073 -1.5369 0.9015 -6.1253 -3.0666 -1.6099 -3.3364 -5.6233 2.5190" Properties=species:S:1:pos:R:3 pbc="T T T"
Cl -11.9958 -4.8571 -0.2995
Cl -12.3897 -8.2107 1.6361
Hg -8.9579 -5.3858 0.8476
Re -3.9927 -1.4901 -0.1768
```

Output
Energy relative to the elements, uncorrected = 95 meV/atom